No. 1
Ba4CuSe: single point on PBEsol structure, meta-GGA SCAN.

Computed properties:
D(E_F) (states/eV/f.u.): 6.6
M_tot (Bohr magnetons per cell): 0.0

Cell: 9.7350 9.7350 9.7350 Å, 90.00 90.00 90.00°
Space group F-43m (No. 216)
Asymmetric unit:
Ba  0.1239  0.1239  0.1239 x16
Cu  0.0000  0.0000  0.5000 x4
Se  0.2500  0.2500  0.7500 x4

***

No. 2
BaCuSe2: single point on PBEsol structure, meta-GGA SCAN.

Computed properties:
D(E_F) (states/eV/f.u.): 3.2
M_tot (Bohr magnetons per cell): 3.0

Cell: 5.2020 5.2020 20.3504 Å, 90.00 90.00 120.00°
Space group R-3m (No. 166, hexagonal axes)
Asymmetric unit:
Ba  0.0000  0.0000  0.0000 x3
Cu  0.0000  0.0000  0.5000 x3
Se  0.0000  0.0000  0.3923 x6

***

No. 3
Ba2CuSe: single point on PBEsol structure, meta-GGA SCAN.

Computed properties:
D(E_F) (states/eV/f.u.): 2.4
M_tot (Bohr magnetons per cell): 0.0

Cell: 5.0386 4.2490 11.8560 Å, 90.00 90.00 90.00°
Space group Amm2 (No. 38)
Asymmetric unit:
Ba  0.0000  0.0000  0.0000 x2
Ba  0.5000  0.0000  0.2515 x2
Cu  0.0000  0.0000  0.7290 x2
Se  0.5000  0.0000  0.5275 x2

***

No. 4
Ba2UCu2Se5: single point on PBEsol structure, meta-GGA SCAN.

Computed properties:
D(E_F) (states/eV/f.u.): 0.2
M_tot (Bohr magnetons per cell): 4.0

Cell: 13.9869 4.1587 9.5632 Å, 90.00 115.76 90.00°
Space group C2/m (No. 12)
Asymmetric unit:
Ba  0.1757  0.0000  0.2017 x4
U  0.0000  0.0000  0.5000 x2
Cu  0.0512  0.5000  0.7888 x4
Se  0.0000  0.5000  0.0000 x2
Se  0.1167  0.5000  0.4397 x4
Se  0.1470  0.0000  0.8108 x4

***

No. 5
Ba2UCu4Se6: single point on PBEsol structure, meta-GGA SCAN.

Computed properties:
D(E_F) (states/eV/f.u.): 0.5
M_tot (Bohr magnetons per cell): 4.0

Cell: 7.1847 9.7108 8.8353 Å, 90.00 107.75 90.00°
Space group P2_1/c (No. 14)
Asymmetric unit:
Ba  0.0170  0.2325  0.1248 x4
U  0.5000  0.0000  0.5000 x2
Cu  0.4352  0.7466  0.2350 x4
Cu  0.4963  0.5006  0.6401 x4
Se  0.2104  0.5624  0.7104 x4
Se  0.2125  0.5519  0.1490 x4
Se  0.3914  0.2170  0.9710 x4

***

No. 6
BaYCuSe3: single point on PBEsol structure, meta-GGA SCAN.

Computed properties:
M_tot (Bohr magnetons per cell): 0.0

Cell: 4.1151 13.8428 10.5095 Å, 90.00 90.00 90.00°
Space group Cmcm (No. 63)
Asymmetric unit:
Ba  0.0000  0.2468  0.2500 x4
Y  0.0000  0.5000  0.0000 x4
Cu  0.0000  0.0316  0.7500 x4
Se  0.0000  0.1351  0.5616 x8
Se  0.0000  0.4314  0.7500 x4

***

Formation energy without anion corrections values (in eV/f.u.) by entry order: 2.10; -3.45; -3.73; -14.17; -14.60; -10.80.